No. 1
Below is an optimized crystal structure of NaCaFe2Si4O12, with properties calculated at the PBEsol level.

abc: 7.2227 7.2227 6.1257
angles: 112.48 112.48 83.57
Positions (direct):
Na  0.0000  0.0000  0.0000
Ca  0.3912  0.6088  0.5000
Fe  0.2905  0.7095  0.0000
Fe  0.8407  0.1593  0.5000
Si  0.5176  0.0852  0.9897
Si  0.5345  0.0786  0.4972
Si  0.9148  0.4824  0.0103
Si  0.9214  0.4655  0.5028
O  0.1190  0.6141  0.1281
O  0.1529  0.5545  0.6459
O  0.3530  0.2196  0.3413
O  0.3859  0.8810  0.8719
O  0.4187  0.2790  0.1739
O  0.4455  0.8471  0.3541
O  0.5083  0.1717  0.7762
O  0.7210  0.5813  0.8261
O  0.7522  0.0599  0.1590
O  0.7804  0.6470  0.6587
O  0.8283  0.4917  0.2238
O  0.9401  0.2478  0.8410

Results
Total moment = 1.01 μB/f.u.
Total DFT energy (no corrections) = -7.16 eV/atom
Formation energy without anion corrections = -1.7836 eV per atom



No. 2
Below is an optimized crystal structure of SrMn, with properties calculated at the PBEsol level.

abc: 3.6805 3.6805 9.0689
angles: 90.00 90.00 120.00
Positions (direct):
Sr  0.3333  0.6667  0.2060
Sr  0.6667  0.3333  0.7940
Mn  0.3333  0.6667  0.5257
Mn  0.6667  0.3333  0.4743

Results
Total moment = 0.00 μB/f.u.
E_form = 0.762 eV/atom
Total DFT energy (no corrections) = -5.04 eV/atom



No. 3
Below is an optimized crystal structure of FeSn3P, with properties calculated at the PBEsol level.

abc: 5.0219 5.0219 5.0219
angles: 90.00 90.00 90.00
Positions (direct):
Fe  0.0000  0.0000  0.0000
Sn  0.0000  0.5000  0.5000
Sn  0.5000  0.0000  0.5000
Sn  0.5000  0.5000  0.0000
P  0.5000  0.5000  0.5000

Results
Total moment = 2.98 μB/f.u.
E_form = 0.995 eV/atom
Total DFT energy (no corrections) = -4.51 eV/atom



No. 4
Below is an optimized crystal structure of BaTeI2N, with properties calculated at the PBEsol level.

abc: 6.3520 6.3520 4.0845
angles: 90.00 90.00 90.00
Positions (direct):
Ba  0.0000  0.0000  0.0000
Te  0.5000  0.5000  0.5000
I  0.0000  0.5000  0.5000
I  0.5000  0.0000  0.5000
N  0.5000  0.5000  0.0000

Results
Total moment = 0.14 μB/f.u.
Total DFT energy (no corrections) = -3.72 eV/atom
Formation energy without anion corrections = -0.1690 eV per atom



No. 5
Below is an optimized crystal structure of Zr2IrCl, with properties calculated at the PBEsol level.

abc: 4.6454 4.6454 4.6454
angles: 60.00 60.00 60.00
Positions (direct):
Zr  0.2500  0.2500  0.2500
Zr  0.7500  0.7500  0.7500
Ir  0.0000  0.0000  0.0000
Cl  0.5000  0.5000  0.5000

Results
Total moment = 0.00 μB/f.u.
Total DFT energy (no corrections) = -8.00 eV/atom
Offset from the most stable computed form = 1.07 eV/f.u.
Formation energy without anion corrections = -0.5012 eV per atom



No. 6
Below is an optimized crystal structure of IrOsRu2, with properties calculated at the PBEsol level.

abc: 4.6393 4.6393 4.6393
angles: 131.63 131.63 70.82
Positions (direct):
Ir  0.0000  0.0000  0.0000
Os  0.5000  0.5000  0.0000
Ru  0.2500  0.7500  0.5000
Ru  0.7500  0.2500  0.5000

Results
Total moment = 0.00 μB/f.u.
E_form = 0.043 eV/atom
Total DFT energy (no corrections) = -10.55 eV/atom
Offset from the most stable computed form = 0.03 eV/f.u.



No. 7
Below is an optimized crystal structure of Zr2Si, with properties calculated at the PBEsol level.

abc: 12.6309 12.6309 12.6309
angles: 167.11 164.61 20.13
Positions (direct):
Zr  0.3058  0.0558  0.2500
Zr  0.4417  0.1917  0.2500
Zr  0.5583  0.8083  0.7500
Zr  0.6942  0.9442  0.7500
Si  0.1267  0.3767  0.7500
Si  0.8733  0.6233  0.2500

Results
Total moment = 0.00 μB/f.u.
Total DFT energy (no corrections) = -8.26 eV/atom
Formation energy without anion corrections = -0.2823 eV per atom



No. 8
Below is an optimized crystal structure of AgTe2WN, with properties calculated at the PBEsol level.

abc: 5.3656 5.3656 3.7660
angles: 90.00 90.00 90.00
Positions (direct):
Ag  0.0000  0.0000  0.0000
Te  0.0000  0.5000  0.0000
Te  0.5000  0.0000  0.0000
W  0.5000  0.5000  0.5000
N  0.0000  0.0000  0.5000

Results
Total moment = 4.40 μB/f.u.
Total DFT energy (no corrections) = -4.79 eV/atom
Offset from the most stable computed form = 6.91 eV/f.u.
Formation energy without anion corrections = 1.7457 eV per atom



No. 9
Below is an optimized crystal structure of K2TlS, with properties calculated at the PBEsol level.

abc: 5.5428 5.5428 5.5428
angles: 60.00 60.00 60.00
Positions (direct):
K  0.2500  0.2500  0.2500
K  0.7500  0.7500  0.7500
Tl  0.0000  0.0000  0.0000
S  0.5000  0.5000  0.5000

Results
Total moment = 0.00 μB/f.u.
Total DFT energy (no corrections) = -2.67 eV/atom
Formation energy without anion corrections = -0.3450 eV per atom



No. 10
Below is an optimized crystal structure of Cs2P3Se6, with properties calculated at the PBEsol level.

abc: 10.7563 10.5789 14.9446
angles: 90.00 125.33 90.00
Positions (direct):
Cs  0.1574  0.0008  0.1796
Cs  0.1574  0.4992  0.6796
Cs  0.2541  0.0026  0.7427
Cs  0.2541  0.4974  0.2427
Cs  0.7459  0.5026  0.7573
Cs  0.7459  0.9974  0.2573
Cs  0.8426  0.5008  0.3204
Cs  0.8426  0.9992  0.8204
P  0.1385  0.7023  0.9433
P  0.1385  0.7977  0.4433
P  0.3549  0.6809  0.5554
P  0.3549  0.8191  0.0554
P  0.4962  0.5506  0.0637
P  0.4962  0.9494  0.5637
P  0.5038  0.0506  0.4363
P  0.5038  0.4494  0.9363
P  0.6451  0.1809  0.9446
P  0.6451  0.3191  0.4446
P  0.8615  0.2023  0.5567
P  0.8615  0.2977  0.0567
Se  0.0015  0.2160  0.4970
Se  0.0015  0.2840  0.9970
Se  0.0313  0.7491  0.7738
Se  0.0313  0.7509  0.2738
Se  0.2424  0.9996  0.4826
Se  0.2424  0.5004  0.9826
Se  0.3015  0.0137  0.0091
Se  0.3015  0.4863  0.5091
Se  0.4598  0.7378  0.7220
Se  0.4598  0.7622  0.2220
Se  0.4884  0.7433  0.9901
Se  0.4884  0.7567  0.4901
Se  0.5116  0.2433  0.5099
Se  0.5116  0.2567  0.0099
Se  0.5402  0.2378  0.7780
Se  0.5402  0.2622  0.2780
Se  0.6985  0.5137  0.4909
Se  0.6985  0.9863  0.9909
Se  0.7576  0.0004  0.5174
Se  0.7576  0.4996  0.0174
Se  0.9687  0.2491  0.7262
Se  0.9687  0.2509  0.2262
Se  0.9985  0.7160  0.0030
Se  0.9985  0.7840  0.5030

Results
Total moment = 0.00 μB/f.u.
Total DFT energy (no corrections) = -4.34 eV/atom
Formation energy without anion corrections = -0.4916 eV per atom



No. 11
Below is an optimized crystal structure of CoCuSbTe2, with properties calculated at the PBEsol level.

abc: 5.0350 5.0350 4.6505
angles: 90.00 90.00 90.00
Positions (direct):
Co  0.0000  0.0000  0.0000
Cu  0.5000  0.5000  0.5000
Sb  0.0000  0.0000  0.5000
Te  0.0000  0.5000  0.0000
Te  0.5000  0.0000  0.0000

Results
Total moment = 0.00 μB/f.u.
Total DFT energy (no corrections) = -4.11 eV/atom
Formation energy without anion corrections = 0.6246 eV per atom



No. 12
Below is an optimized crystal structure of Nb3AlS, with properties calculated at the PBEsol level.

abc: 4.5337 4.5337 4.5337
angles: 90.00 90.00 90.00
Positions (direct):
Nb  0.0000  0.0000  0.5000
Nb  0.0000  0.5000  0.0000
Nb  0.5000  0.0000  0.0000
Al  0.5000  0.5000  0.5000
S  0.0000  0.0000  0.0000

Results
Total moment = 0.00 μB/f.u.
Total DFT energy (no corrections) = -8.15 eV/atom
Formation energy without anion corrections = 0.0427 eV per atom